Entry 1:
Computed, not measured: an optimized crystal structure of Pu2AlMo at the PBE level of DFT.

## Properties
The calculation puts the formation energy at 1.41 eV/f.u. The value obtained for the density of states at the Fermi level is 8.2 states/eV/cell. For the electronic total energy, the calculation gives -41.825 eV/cell.

Unit cell a=3.646 b=3.646 c=5.017 alpha=90.00 beta=90.00 gamma=90.00
Space group P4/mmm (No. 123)
Inequivalent atoms, fractional coordinates:
1 Pu 0.000 0.500 0.000
2 Al 0.000 0.000 0.500
3 Mo 0.500 0.500 0.500

=====

Entry 2:
Computed, not measured: an optimized crystal structure of CsErPbSe3 at the PBE level of DFT.

## Properties
The value obtained for the raw formation energy is -1.208 eV/atom. For the electronic total energy, the calculation gives -107.296 eV/cell.

Unit cell a=4.171 b=17.945 c=12.115 alpha=90.00 beta=90.00 gamma=90.00
Space group Cmcm (No. 63)
Inequivalent atoms, fractional coordinates:
1 Cs 0.000 0.189 0.250
2 Er 0.000 0.500 0.000
3 Pb 0.000 0.101 0.750
4 Se 0.000 0.107 0.504
5 Se 0.000 0.493 0.750

=====

Entry 3:
Computed, not measured: an optimized crystal structure of Ti2AgF at the PBE level of DFT.

## Properties
The value obtained for the density of states at the Fermi level is 11.2 states/eV/cell. The value obtained for the raw formation energy is -0.251 eV/atom. For the electronic total energy, the calculation gives -86.073 eV/cell.

Unit cell a=6.317 b=6.317 c=6.317 alpha=90.00 beta=90.00 gamma=90.00
Space group Fm-3m (No. 225)
Inequivalent atoms, fractional coordinates:
1 Ti 0.250 0.250 0.250
2 Ag 0.000 0.000 0.000
3 F 0.000 0.000 0.500

=====

Entry 4:
Computed, not measured: an optimized crystal structure of Tm2SnSb at the PBE level of DFT.

## Properties
The value obtained for the density of states at the Fermi level is 3.1 states/eV/cell. The value obtained for the raw formation energy is -0.680 eV/atom. For the electronic total energy, the calculation gives -59.368 eV/cell.

Unit cell a=4.1385 b=4.1385 c=23.6486 alpha=90.00 beta=90.00 gamma=120.00
Space group R3m (No. 160, hexagonal axes)
Inequivalent atoms, fractional coordinates:
1 Tm 0.0000 0.0000 0.0000
2 Tm 0.0000 0.0000 0.1766
3 Sn 0.0000 0.0000 0.7559
4 Sb 0.0000 0.0000 0.5869

=====

Entry 5:
Computed, not measured: an optimized crystal structure of La2AlTe at the PBE level of DFT.

## Properties
The value obtained for the density of states at the Fermi level is 33.9 states/eV/cell. The value obtained for the raw formation energy is -0.665 eV/atom. For the electronic total energy, the calculation gives -77.601 eV/cell.

Unit cell a=7.815 b=7.815 c=7.815 alpha=90.00 beta=90.00 gamma=90.00
Space group Fm-3m (No. 225)
Inequivalent atoms, fractional coordinates:
1 La 0.250 0.250 0.250
2 Al 0.000 0.000 0.000
3 Te 0.000 0.000 0.500

=====

Entry 6:
Computed, not measured: an optimized crystal structure of InFeCoRu at the PBE level of DFT.

## Properties
The calculation puts the formation energy at 0.54 eV/f.u. The value obtained for the density of states at the Fermi level is 12.9 states/eV/cell. For the electronic total energy, the calculation gives -108.181 eV/cell.

Unit cell a=6.132 b=6.132 c=6.132 alpha=90.00 beta=90.00 gamma=90.00
Space group F-43m (No. 216)
Inequivalent atoms, fractional coordinates:
1 In 0.000 0.000 0.000
2 Fe 0.000 0.000 0.500
3 Co 0.250 0.250 0.750
4 Ru 0.250 0.250 0.250

=====

Entry 7:
Computed, not measured: an optimized crystal structure of FeOsRh2 at the PBE level of DFT.

## Properties
The calculation puts the formation energy at 0.21 eV/f.u. The value obtained for the density of states at the Fermi level is 8.3 states/eV/cell. For the electronic total energy, the calculation gives -68.365 eV/cell.

Unit cell a=5.384 b=7.596 c=2.701 alpha=90.00 beta=90.00 gamma=90.00
Space group Cmmm (No. 65)
Inequivalent atoms, fractional coordinates:
1 Fe 0.000 0.000 0.000
2 Os 0.000 0.500 0.000
3 Rh 0.250 0.250 0.500

=====

Entry 8:
Computed, not measured: an optimized crystal structure of Er2Tm2Co at the PBE level of DFT.

## Properties
The calculation puts the formation energy at -0.43 eV/f.u. The value obtained for the density of states at the Fermi level is 23.9 states/eV/cell. For the electronic total energy, the calculation gives -102.420 eV/cell.

Unit cell a=7.263 b=11.368 c=7.064 alpha=90.00 beta=114.24 gamma=90.00
Space group C2/m (No. 12)
Inequivalent atoms, fractional coordinates:
1 Er 0.228 0.000 0.392
2 Er 0.243 0.500 0.096
3 Tm 0.045 0.274 0.758
4 Co 0.000 0.121 0.000

=====

Entry 9:
Computed, not measured: an optimized crystal structure of LaPaC2 at the PBE level of DFT.

## Properties
The calculation puts the formation energy at -0.83 eV/f.u. The value obtained for the density of states at the Fermi level is 7.2 states/eV/cell. For the electronic total energy, the calculation gives -101.089 eV/cell.

Unit cell a=3.7022 b=3.7022 c=18.3945 alpha=90.00 beta=90.00 gamma=120.00
Space group R-3m (No. 166, hexagonal axes)
Inequivalent atoms, fractional coordinates:
1 La 0.0000 0.0000 0.0000
2 Pa 0.0000 0.0000 0.5000
3 C 0.0000 0.0000 0.2358

=====

Entry 10:
Computed, not measured: an optimized crystal structure of Zr2BeSi at the PBE level of DFT.

## Properties
The value obtained for the density of states at the Fermi level is 5.8 states/eV/cell. The value obtained for the raw formation energy is -0.325 eV/atom. For the electronic total energy, the calculation gives -55.087 eV/cell.

Unit cell a=4.201 b=4.201 c=7.644 alpha=90.00 beta=90.00 gamma=90.00
Space group I4/mmm (No. 139)
Inequivalent atoms, fractional coordinates:
1 Zr 0.000 0.500 0.250
2 Be 0.000 0.000 0.000
3 Si 0.000 0.000 0.500

=====

Entry 11:
Computed, not measured: an optimized crystal structure of Hg3Pb5 at the PBE level of DFT.

## Properties
The calculation puts the formation energy at 0.46 eV/f.u. The value obtained for the density of states at the Fermi level is 8.8 states/eV/cell. For the electronic total energy, the calculation gives -37.965 eV/cell.

Unit cell a=9.1348 b=9.1348 c=6.5729 alpha=90.00 beta=90.00 gamma=120.00
Space group P6_3/mcm (No. 193)
Inequivalent atoms, fractional coordinates:
1 Hg 0.0000 0.4031 0.2500
2 Pb 0.0000 0.2275 0.7500
3 Pb 0.3333 0.6667 0.0000

=====

Entry 12:
Computed, not measured: an optimized crystal structure of TaSiW at the PBE level of DFT.

## Properties
The value obtained for the density of states at the Fermi level is 5.4 states/eV/cell. The value obtained for the raw formation energy is -0.111 eV/atom. For the electronic total energy, the calculation gives -122.247 eV/cell.

Unit cell a=3.343 b=4.589 c=12.340 alpha=90.00 beta=90.00 gamma=90.00
Space group Fmm2 (No. 42)
Inequivalent atoms, fractional coordinates:
1 Ta 0.000 0.000 0.000
2 Si 0.000 0.000 0.661
3 W 0.000 0.000 0.316

=====

Entry 13:
Computed, not measured: an optimized crystal structure of Tl2IN at the PBE level of DFT.

## Properties
The value obtained for the density of states at the Fermi level is 0.1 states/eV/cell. The value obtained for the raw formation energy is 0.347 eV/atom. For the electronic total energy, the calculation gives -26.444 eV/cell.

Unit cell a=4.040 b=7.286 c=9.642 alpha=98.06 beta=90.01 gamma=106.08
Space group P-1 (No. 2)
Inequivalent atoms, fractional coordinates:
1 Tl 0.098 0.196 0.177
2 Tl 0.339 0.679 0.473
3 I 0.403 0.804 0.187
4 N 0.165 0.330 0.428

=====

Entry 14:
Computed, not measured: an optimized crystal structure of Al2CdHg at the PBE level of DFT.

## Properties
The calculation puts the formation energy at 0.82 eV/f.u. The value obtained for the density of states at the Fermi level is 3.6 states/eV/cell. For the electronic total energy, the calculation gives -15.755 eV/cell.

Unit cell a=2.831 b=5.624 c=10.634 alpha=90.00 beta=90.00 gamma=90.00
Space group Cmmm (No. 65)
Inequivalent atoms, fractional coordinates:
1 Al 0.000 0.000 0.249
2 Cd 0.000 0.500 0.500
3 Hg 0.000 0.500 0.000

=====

Entry 15:
Computed, not measured: an optimized crystal structure of NaAcNi at the PBE level of DFT.

## Properties
The calculation puts the formation energy at 0.22 eV/f.u. The value obtained for the density of states at the Fermi level is 6.5 states/eV/cell. For the electronic total energy, the calculation gives -43.963 eV/cell.

Unit cell a=9.819 b=4.358 c=8.515 alpha=90.00 beta=102.94 gamma=90.00
Space group C2/m (No. 12)
Inequivalent atoms, fractional coordinates:
1 Na 0.140 0.000 0.434
2 Ac 0.120 0.500 0.848
3 Ni 0.201 0.500 0.204

=====

Entry 16:
Computed, not measured: an optimized crystal structure of NdTlI at the PBE level of DFT.

## Properties
The value obtained for the density of states at the Fermi level is 11.9 states/eV/cell. The value obtained for the raw formation energy is -0.602 eV/atom. For the electronic total energy, the calculation gives -41.967 eV/cell.

Unit cell a=17.081 b=4.054 c=6.339 alpha=90.00 beta=111.73 gamma=90.00
Space group C2/m (No. 12)
Inequivalent atoms, fractional coordinates:
1 Nd 0.132 0.000 0.133
2 Tl 0.000 0.500 0.262
3 I 0.206 0.000 0.706

=====

Entry 17:
Computed, not measured: an optimized crystal structure of InSiCl at the PBE level of DFT.

## Properties
The value obtained for the density of states at the Fermi level is 2.6 states/eV/cell. The value obtained for the raw formation energy is 0.213 eV/atom. For the electronic total energy, the calculation gives -9.370 eV/cell.

Unit cell a=4.9550 b=4.9550 c=3.1224 alpha=90.00 beta=90.00 gamma=120.00
Space group P3m1 (No. 156)
Inequivalent atoms, fractional coordinates:
1 In 0.0000 0.0000 0.0000
2 Si 0.6667 0.3333 0.5031
3 Cl 0.3333 0.6667 0.5026

=====

Entry 18:
Computed, not measured: an optimized crystal structure of Sm2DyPbC at the PBE level of DFT.

## Properties
The calculation puts the formation energy at -2.40 eV/f.u. The value obtained for the density of states at the Fermi level is 2.4 states/eV/cell. For the electronic total energy, the calculation gives -29.377 eV/cell.

Unit cell a=5.058 b=5.058 c=4.926 alpha=90.00 beta=90.00 gamma=90.00
Space group P4/mmm (No. 123)
Inequivalent atoms, fractional coordinates:
1 Sm 0.000 0.500 0.000
2 Dy 0.000 0.000 0.500
3 Pb 0.500 0.500 0.500
4 C 0.000 0.000 0.000

=====

Entry 19:
Computed, not measured: an optimized crystal structure of Np2GaSi4Ni3 at the PBE level of DFT.

## Properties
The value obtained for the density of states at the Fermi level is 18.5 states/eV/cell. The value obtained for the raw formation energy is -0.465 eV/atom. For the electronic total energy, the calculation gives -72.596 eV/cell.

Unit cell a=3.979 b=3.979 c=9.783 alpha=90.00 beta=90.00 gamma=90.00
Space group P-4m2 (No. 115)
Inequivalent atoms, fractional coordinates:
1 Np 0.000 0.500 0.242
2 Ga 0.000 0.000 0.500
3 Si 0.000 0.000 0.000
4 Si 0.000 0.500 0.648
5 Si 0.500 0.500 0.000
6 Ni 0.000 0.500 0.881
7 Ni 0.500 0.500 0.500

=====

Entry 20:
Computed, not measured: an optimized crystal structure of Sm2Al2CdRh5 at the PBE level of DFT.

## Properties
The calculation puts the formation energy at -7.17 eV/f.u. The value obtained for the density of states at the Fermi level is 10.0 states/eV/cell. For the electronic total energy, the calculation gives -123.534 eV/cell.

Unit cell a=10.023 b=10.023 c=3.544 alpha=90.00 beta=90.00 gamma=90.00
Space group P4/mbm (No. 127)
Inequivalent atoms, fractional coordinates:
1 Sm 0.177 0.323 0.000
2 Al 0.121 0.621 0.000
3 Cd 0.000 0.000 0.000
4 Rh 0.000 0.500 0.500
5 Rh 0.068 0.787 0.500

=====

Entry 21:
Computed, not measured: an optimized crystal structure of Ag2AuBr3 at the PBE level of DFT.

## Properties
The value obtained for the density of states at the Fermi level is 2.4 states/eV/cell. The value obtained for the raw formation energy is -0.211 eV/atom. For the electronic total energy, the calculation gives -30.531 eV/cell.

Unit cell a=4.015 b=8.674 c=10.913 alpha=107.82 beta=90.24 gamma=103.06
Space group P-1 (No. 2)
Inequivalent atoms, fractional coordinates:
1 Ag 0.018 0.041 0.379
2 Ag 0.324 0.646 0.236
3 Au 0.285 0.573 0.952
4 Br 0.152 0.295 0.140
5 Br 0.152 0.310 0.580
6 Br 0.470 0.948 0.205

=====

Entry 22:
Computed, not measured: an optimized crystal structure of Tb3TmZr2N6 at the PBE level of DFT.

## Properties
The value obtained for the density of states at the Fermi level is 3.2 states/eV/cell. The value obtained for the raw formation energy is -1.736 eV/atom. For the electronic total energy, the calculation gives -212.480 eV/cell.

Unit cell a=5.858 b=10.148 c=5.891 alpha=90.00 beta=109.35 gamma=90.00
Space group C2/m (No. 12)
Inequivalent atoms, fractional coordinates:
1 Tb 0.000 0.000 0.000
2 Tb 0.000 0.334 0.000
3 Tm 0.000 0.500 0.500
4 Zr 0.000 0.167 0.500
5 N 0.237 0.000 0.732
6 N 0.248 0.330 0.734

=====

Entry 23:
Computed, not measured: an optimized crystal structure of CaPm2Ru at the PBE level of DFT.

## Properties
The calculation puts the formation energy at -0.46 eV/f.u. The value obtained for the density of states at the Fermi level is 4.2 states/eV/cell. For the electronic total energy, the calculation gives -21.236 eV/cell.

Unit cell a=3.507 b=3.507 c=9.843 alpha=90.00 beta=90.00 gamma=90.00
Space group P4/mmm (No. 123)
Inequivalent atoms, fractional coordinates:
1 Ca 0.000 0.000 0.000
2 Pm 0.500 0.500 0.328
3 Ru 0.000 0.000 0.500

=====

Entry 24:
Computed, not measured: an optimized crystal structure of Ca2HoHg3 at the PBE level of DFT.

## Properties
The calculation puts the formation energy at -3.22 eV/f.u. The value obtained for the density of states at the Fermi level is 13.5 states/eV/cell. For the electronic total energy, the calculation gives -50.816 eV/cell.

Unit cell a=5.298 b=15.812 c=7.583 alpha=90.00 beta=90.00 gamma=90.00
Space group Cmmm (No. 65)
Inequivalent atoms, fractional coordinates:
1 Ca 0.000 0.000 0.000
2 Ca 0.000 0.000 0.500
3 Ca 0.000 0.334 0.000
4 Ho 0.000 0.334 0.500
5 Hg 0.000 0.169 0.261
6 Hg 0.000 0.500 0.260

=====

Entry 25:
Computed, not measured: an optimized crystal structure of V4FeTc at the PBE level of DFT.

## Properties
The calculation puts the formation energy at 2.36 eV/f.u. The value obtained for the density of states at the Fermi level is 11.4 states/eV/cell. For the electronic total energy, the calculation gives -105.879 eV/cell.

Unit cell a=7.053 b=4.043 c=6.814 alpha=90.00 beta=109.85 gamma=90.00
Space group C2/m (No. 12)
Inequivalent atoms, fractional coordinates:
1 V 0.120 0.000 0.357
2 V 0.132 0.500 0.895
3 Fe 0.000 0.000 0.000
4 Tc 0.000 0.500 0.500